(1)
First-principles (PBE-GGA) data for a relaxed structure of SrPm2Sm, as listed in Alexandria via LeMat-Bulk.

* total DFT energy (no corrections): -3.883 eV/atom
* relative energy among the computed polymorphs: 0.0000 eV/atom
* energy relative to the elements: 92 meV/atom

```
data_SrPm2Sm
_chemical_formula_sum 'Sr1 Pm2 Sm1'
_cell_length_a 3.742
_cell_length_b 3.742
_cell_length_c 10.811
_cell_angle_alpha 90.00
_cell_angle_beta 90.00
_cell_angle_gamma 90.00
_symmetry_space_group_name_H-M 'P 4/m m m'
_symmetry_Int_Tables_number 123
_symmetry_space_group_name_Hall '-P 4 2'
loop_
_atom_site_label
_atom_site_type_symbol
_atom_site_fract_x
_atom_site_fract_y
_atom_site_fract_z
Sr1 Sr 0.000 0.000 0.000
Pm1 Pm 0.500 0.500 0.276
Sm1 Sm 0.000 0.000 0.500
```



(2)
First-principles (PBE-GGA) data for a relaxed structure of Ta5Mo3, as listed in Alexandria via LeMat-Bulk.

* total DFT energy (no corrections): -11.603 eV/atom
* relative energy among the computed polymorphs: 0.0394 eV/atom
* energy relative to the elements: -134 meV/atom

```
data_Ta5Mo3
_chemical_formula_sum 'Ta10 Mo6'
_cell_length_a 6.544
_cell_length_b 9.198
_cell_length_c 4.578
_cell_angle_alpha 90.00
_cell_angle_beta 90.00
_cell_angle_gamma 90.00
_symmetry_space_group_name_H-M 'C m m m'
_symmetry_Int_Tables_number 65
_symmetry_space_group_name_Hall '-C 2 2'
loop_
_atom_site_label
_atom_site_type_symbol
_atom_site_fract_x
_atom_site_fract_y
_atom_site_fract_z
Ta1 Ta 0.000 0.000 0.000
Ta2 Ta 0.244 0.500 0.500
Ta3 Ta 0.250 0.250 0.000
Mo1 Mo 0.000 0.247 0.500
Mo2 Mo 0.000 0.500 0.000
```



(3)
First-principles (PBE-GGA) data for a relaxed structure of SrCrS2Cl, as listed in Alexandria via LeMat-Bulk.

* total DFT energy (no corrections): -5.468 eV/atom
* raw formation energy: -1.19 eV/atom
* relative energy among the computed polymorphs: 0.0000 eV/atom

```
data_SrCrS2Cl
_chemical_formula_sum 'Sr1 Cr1 S2 Cl1'
_cell_length_a 4.760
_cell_length_b 4.760
_cell_length_c 4.773
_cell_angle_alpha 90.00
_cell_angle_beta 90.00
_cell_angle_gamma 90.00
_symmetry_space_group_name_H-M 'P 4/m m m'
_symmetry_Int_Tables_number 123
_symmetry_space_group_name_Hall '-P 4 2'
loop_
_atom_site_label
_atom_site_type_symbol
_atom_site_fract_x
_atom_site_fract_y
_atom_site_fract_z
Sr1 Sr 0.000 0.000 0.000
Cr1 Cr 0.500 0.500 0.500
S1 S 0.000 0.500 0.500
Cl1 Cl 0.500 0.500 0.000
```



(4)
First-principles (PBE-GGA) data for a relaxed structure of Ca5SmPb6, as listed in Alexandria via LeMat-Bulk.

* total DFT energy (no corrections): -3.597 eV/atom
* energy relative to the elements: -516 meV/atom

```
data_Ca5SmPb6
_chemical_formula_sum 'Ca5 Sm1 Pb6'
_cell_length_a 5.810
_cell_length_b 7.319
_cell_length_c 9.293
_cell_angle_alpha 113.13
_cell_angle_beta 95.96
_cell_angle_gamma 90.06
_symmetry_space_group_name_H-M 'P -1'
_symmetry_Int_Tables_number 2
_symmetry_space_group_name_Hall '-P 1'
loop_
_atom_site_label
_atom_site_type_symbol
_atom_site_fract_x
_atom_site_fract_y
_atom_site_fract_z
Ca1 Ca 0.000 0.000 0.000
Ca2 Ca 0.327 0.834 0.667
Ca3 Ca 0.328 0.329 0.657
Sm1 Sm 0.000 0.500 0.000
Pb1 Pb 0.172 0.417 0.328
Pb2 Pb 0.172 0.912 0.328
Pb3 Pb 0.500 0.255 0.000
```



(5)
First-principles (PBE-GGA) data for a relaxed structure of Li2CuPt2O6, as listed in Alexandria via LeMat-Bulk.

* total DFT energy (no corrections): -5.442 eV/atom
* raw formation energy: -0.92 eV/atom

```
data_Li2CuPt2O6
_chemical_formula_sum 'Li4 Cu2 Pt4 O12'
_cell_length_a 5.249
_cell_length_b 9.552
_cell_length_c 5.118
_cell_angle_alpha 90.00
_cell_angle_beta 108.58
_cell_angle_gamma 90.00
_symmetry_space_group_name_H-M 'C 1 2/m 1'
_symmetry_Int_Tables_number 12
_symmetry_space_group_name_Hall '-C 2y'
loop_
_atom_site_label
_atom_site_type_symbol
_atom_site_fract_x
_atom_site_fract_y
_atom_site_fract_z
Li1 Li 0.000 0.166 0.000
Cu1 Cu 0.000 0.000 0.500
Pt1 Pt 0.000 0.336 0.500
O1 O 0.238 0.183 0.724
O2 O 0.246 0.500 0.706
```



(6)
First-principles (PBE-GGA) data for a relaxed structure of Zr2SiHg, as listed in Alexandria via LeMat-Bulk.

* total DFT energy (no corrections): -6.021 eV/atom
* raw formation energy: -0.32 eV/atom

```
data_Zr2SiHg
_chemical_formula_sum 'Zr4 Si2 Hg2'
_cell_length_a 6.281
_cell_length_b 8.153
_cell_length_c 3.089
_cell_angle_alpha 90.00
_cell_angle_beta 90.20
_cell_angle_gamma 90.00
_symmetry_space_group_name_H-M 'C 1 2/m 1'
_symmetry_Int_Tables_number 12
_symmetry_space_group_name_Hall '-C 2y'
loop_
_atom_site_label
_atom_site_type_symbol
_atom_site_fract_x
_atom_site_fract_y
_atom_site_fract_z
Zr1 Zr 0.250 0.250 0.000
Si1 Si 0.000 0.000 0.500
Hg1 Hg 0.000 0.500 0.500
```



(7)
First-principles (PBE-GGA) data for a relaxed structure of Pm2Ho2Er, as listed in Alexandria via LeMat-Bulk.

* total DFT energy (no corrections): -4.624 eV/atom
* relative energy among the computed polymorphs: 0.0000 eV/atom
* energy relative to the elements: 20 meV/atom

```
data_Pm2Ho2Er
_chemical_formula_sum 'Pm2 Ho2 Er1'
_cell_length_a 3.5784
_cell_length_b 3.5784
_cell_length_c 14.5091
_cell_angle_alpha 90.00
_cell_angle_beta 90.00
_cell_angle_gamma 120.00
_symmetry_space_group_name_H-M 'P -3 m 1'
_symmetry_Int_Tables_number 164
_symmetry_space_group_name_Hall '-P 3 2"'
loop_
_atom_site_label
_atom_site_type_symbol
_atom_site_fract_x
_atom_site_fract_y
_atom_site_fract_z
Pm1 Pm 0.3333 0.6667 0.3961
Ho1 Ho 0.3333 0.6667 0.8047
Er1 Er 0.0000 0.0000 0.0000
```



(8)
First-principles (PBE-GGA) data for a relaxed structure of Pm4Dy5Cd2, as listed in Alexandria via LeMat-Bulk.

* total DFT energy (no corrections): -3.977 eV/atom
* energy relative to the elements: 9 meV/atom

```
data_Pm4Dy5Cd2
_chemical_formula_sum 'Pm4 Dy5 Cd2'
_cell_length_a 8.641
_cell_length_b 3.497
_cell_length_c 11.333
_cell_angle_alpha 90.00
_cell_angle_beta 93.85
_cell_angle_gamma 90.00
_symmetry_space_group_name_H-M 'P 1 2/m 1'
_symmetry_Int_Tables_number 10
_symmetry_space_group_name_Hall '-P 2y'
loop_
_atom_site_label
_atom_site_type_symbol
_atom_site_fract_x
_atom_site_fract_y
_atom_site_fract_z
Pm1 Pm 0.145 0.000 0.382
Pm2 Pm 0.279 0.000 0.952
Dy1 Dy 0.205 0.500 0.668
Dy2 Dy 0.429 0.500 0.207
Dy3 Dy 0.500 0.500 0.500
Cd1 Cd 0.054 0.500 0.132
```



(9)
First-principles (PBE-GGA) data for a relaxed structure of KRe2Te, as listed in Alexandria via LeMat-Bulk.

* total DFT energy (no corrections): -5.974 eV/atom
* raw formation energy: 1.31 eV/atom

```
data_KRe2Te
_chemical_formula_sum 'K2 Re4 Te2'
_cell_length_a 3.015
_cell_length_b 5.071
_cell_length_c 10.646
_cell_angle_alpha 90.00
_cell_angle_beta 90.00
_cell_angle_gamma 90.00
_symmetry_space_group_name_H-M 'I m m m'
_symmetry_Int_Tables_number 71
_symmetry_space_group_name_Hall '-I 2 2'
loop_
_atom_site_label
_atom_site_type_symbol
_atom_site_fract_x
_atom_site_fract_y
_atom_site_fract_z
K1 K 0.000 0.000 0.000
Re1 Re 0.000 0.500 0.213
Te1 Te 0.000 0.000 0.500
```



(10)
First-principles (PBE-GGA) data for a relaxed structure of TbIrRh2, as listed in Alexandria via LeMat-Bulk.

* total DFT energy (no corrections): -7.505 eV/atom
* relative energy among the computed polymorphs: 0.0841 eV/atom
* energy relative to the elements: -456 meV/atom

```
data_TbIrRh2
_chemical_formula_sum 'Tb1 Ir1 Rh2'
_cell_length_a 4.086
_cell_length_b 4.086
_cell_length_c 4.001
_cell_angle_alpha 90.00
_cell_angle_beta 90.00
_cell_angle_gamma 90.00
_symmetry_space_group_name_H-M 'P 4/m m m'
_symmetry_Int_Tables_number 123
_symmetry_space_group_name_Hall '-P 4 2'
loop_
_atom_site_label
_atom_site_type_symbol
_atom_site_fract_x
_atom_site_fract_y
_atom_site_fract_z
Tb1 Tb 0.000 0.000 0.000
Ir1 Ir 0.500 0.500 0.000
Rh1 Rh 0.000 0.500 0.500
```



(11)
First-principles (PBE-GGA) data for a relaxed structure of Tl3CuTe2Se6, as listed in Alexandria via LeMat-Bulk.

* total DFT energy (no corrections): -3.357 eV/atom
* raw formation energy: -0.16 eV/atom

```
data_Tl3CuTe2Se6
_chemical_formula_sum 'Tl6 Cu2 Te4 Se12'
_cell_length_a 7.144
_cell_length_b 12.351
_cell_length_c 7.813
_cell_angle_alpha 90.00
_cell_angle_beta 107.62
_cell_angle_gamma 90.00
_symmetry_space_group_name_H-M 'C 1 2/m 1'
_symmetry_Int_Tables_number 12
_symmetry_space_group_name_Hall '-C 2y'
loop_
_atom_site_label
_atom_site_type_symbol
_atom_site_fract_x
_atom_site_fract_y
_atom_site_fract_z
Tl1 Tl 0.000 0.000 0.000
Tl2 Tl 0.000 0.327 0.000
Cu1 Cu 0.000 0.500 0.500
Te1 Te 0.000 0.165 0.500
Se1 Se 0.223 0.343 0.700
Se2 Se 0.247 0.500 0.302
```



(12)
First-principles (PBE-GGA) data for a relaxed structure of Cs2Zn2Bi3, as listed in Alexandria via LeMat-Bulk.

* total DFT energy (no corrections): -2.426 eV/atom
* energy relative to the elements: -155 meV/atom

```
data_Cs2Zn2Bi3
_chemical_formula_sum 'Cs4 Zn4 Bi6'
_cell_length_a 7.344
_cell_length_b 8.072
_cell_length_c 9.385
_cell_angle_alpha 90.00
_cell_angle_beta 104.00
_cell_angle_gamma 90.00
_symmetry_space_group_name_H-M 'P 1 21/c 1'
_symmetry_Int_Tables_number 14
_symmetry_space_group_name_Hall '-P 2ybc'
loop_
_atom_site_label
_atom_site_type_symbol
_atom_site_fract_x
_atom_site_fract_y
_atom_site_fract_z
Cs1 Cs 0.230 0.099 0.425
Zn1 Zn 0.369 0.627 0.631
Bi1 Bi 0.000 0.000 0.000
Bi2 Bi 0.333 0.611 0.323
```



(13)
First-principles (PBE-GGA) data for a relaxed structure of Sr2Zn6Au3, as listed in Alexandria via LeMat-Bulk.

* total DFT energy (no corrections): -2.288 eV/atom
* energy relative to the elements: -394 meV/atom

```
data_Sr2Zn6Au3
_chemical_formula_sum 'Sr2 Zn6 Au3'
_cell_length_a 8.0419
_cell_length_b 8.0419
_cell_length_c 4.1859
_cell_angle_alpha 90.00
_cell_angle_beta 90.00
_cell_angle_gamma 120.00
_symmetry_space_group_name_H-M 'P -6 2 m'
_symmetry_Int_Tables_number 189
_symmetry_space_group_name_Hall 'P -6 -2'
loop_
_atom_site_label
_atom_site_type_symbol
_atom_site_fract_x
_atom_site_fract_y
_atom_site_fract_z
Sr1 Sr 0.3333 0.6667 0.0000
Zn1 Zn 0.0000 0.1845 0.0000
Zn2 Zn 0.0000 0.7192 0.5000
Au1 Au 0.0000 0.3866 0.5000
```



(14)
First-principles (PBE-GGA) data for a relaxed structure of SrGaP3, as listed in Alexandria via LeMat-Bulk.

* total DFT energy (no corrections): -2.997 eV/atom
* relative energy among the computed polymorphs: 1.0833 eV/atom
* energy relative to the elements: 1191 meV/atom

```
data_SrGaP3
_chemical_formula_sum 'Sr1 Ga1 P3'
_cell_length_a 5.513
_cell_length_b 5.513
_cell_length_c 5.513
_cell_angle_alpha 90.00
_cell_angle_beta 90.00
_cell_angle_gamma 90.00
_symmetry_space_group_name_H-M 'P m -3 m'
_symmetry_Int_Tables_number 221
_symmetry_space_group_name_Hall '-P 4 2 3'
loop_
_atom_site_label
_atom_site_type_symbol
_atom_site_fract_x
_atom_site_fract_y
_atom_site_fract_z
Sr1 Sr 0.000 0.000 0.000
Ga1 Ga 0.500 0.500 0.500
P1 P 0.000 0.000 0.500
```